A plane-wave DFT calculation with SCAN was carried out for a crystal of YTa2Co2 relaxed with PBEsol.

```
YTa2Co2
1.0
4.216 0.000 0.000
0.000 4.216 0.000
0.000 0.000 9.755
Y Ta Co
2 4 4
direct
0.000 0.000 0.000 Y
0.500 0.500 0.500 Y
0.000 0.500 0.250 Ta
0.000 0.500 0.750 Ta
0.500 0.000 0.250 Ta
0.500 0.000 0.750 Ta
0.000 0.000 0.379 Co
0.000 0.000 0.621 Co
0.500 0.500 0.121 Co
0.500 0.500 0.879 Co
```

Results
Energy in eV/cell: -392.519
Calculated formation energy in eV per atom: -0.128